1.
Here is a relaxed LiNiO2 crystal from Alexandria via LeMat-Bulk. Energies are from PBE with a Hubbard U.

Computed properties:
Fermi-level density of states: 0.00 states/eV/cell
electronic total energy: -4.88 eV per atom

Unit cell a=5.171 b=2.802 c=5.147 alpha=90.00 beta=112.17 gamma=90.00
Space group C2/m (No. 12)
One atom of each set of equivalent atoms:
Li  0.000  0.000  0.000 (multiplicity 2)
Ni  0.000  0.500  0.500 (multiplicity 2)
O  0.225  0.000  0.726 (multiplicity 4)

2.
Here is a relaxed Li3NiO crystal from Alexandria via LeMat-Bulk. Energies are from PBE with a Hubbard U.

Computed properties:
Fermi-level density of states: 3.07 states/eV/cell
energy above the most stable polymorph in this dataset: 1053.4 meV/atom

Unit cell a=4.230 b=4.230 c=4.230 alpha=90.00 beta=90.00 gamma=90.00
Space group Pm-3m (No. 221)
One atom of each set of equivalent atoms:
Li  0.000  0.000  0.500 (multiplicity 3)
Ni  0.000  0.000  0.000 (multiplicity 1)
O  0.500  0.500  0.500 (multiplicity 1)

3.
Here is a relaxed LiNiO2 crystal from Alexandria via LeMat-Bulk. Energies are from PBE with a Hubbard U.

Computed properties:
Fermi-level density of states: 0.00 states/eV/cell
electronic total energy: -4.87 eV per atom

Unit cell a=9.736 b=2.937 c=4.933 alpha=90.00 beta=101.30 gamma=90.00
Space group C2/c (No. 15)
One atom of each set of equivalent atoms:
Li  0.000  0.247  0.250 (multiplicity 4)
Ni  0.250  0.250  0.000 (multiplicity 4)
O  0.138  0.206  0.636 (multiplicity 8)

Which formula does entry 1 have? LiNiO2